[1]
Crystalline Pa2Ge3Rh5 at its relaxed geometry, computed with PBE.

POSCAR file:
```
Pa2Ge3Rh5
1.0
2.0537 -12.4150 0.0000
2.0537 12.4150 0.0000
0.0000 0.0000 6.8232
Pa Ge Rh
4 6 10
direct
0.0151 0.9849 0.5000 Pa
0.3256 0.6744 0.4977 Pa
0.6744 0.3256 0.9977 Pa
0.9849 0.0151 0.0000 Pa
0.1157 0.8843 0.2775 Ge
0.2729 0.7271 0.0070 Ge
0.4437 0.5563 0.2736 Ge
0.5563 0.4437 0.7736 Ge
0.7271 0.2729 0.5070 Ge
0.8843 0.1157 0.7775 Ge
0.0979 0.9021 0.9113 Rh
0.2032 0.7968 0.7269 Rh
0.2148 0.7852 0.3000 Rh
0.3728 0.6272 0.9957 Rh
0.4504 0.5496 0.6716 Rh
0.5496 0.4504 0.1716 Rh
0.6272 0.3728 0.4957 Rh
0.7852 0.2148 0.8000 Rh
0.7968 0.2032 0.2269 Rh
0.9021 0.0979 0.4113 Rh
```

Results
DOS at the Fermi energy = 0.729 states/eV/atom
formation energy from the elements = -708 meV/atom
total energy = -153.365 eV/cell
polymorph energy (0 for the lowest one) = 43.4 meV/atom

=====

[2]
Crystalline Pa2GeRh at its relaxed geometry, computed with PBE.

POSCAR file:
```
Pa2GeRh
1.0
3.7157 0.0000 0.0000
0.0000 3.7157 0.0000
0.0000 0.0000 6.0296
Pa Ge Rh
2 1 1
direct
0.0000 0.0000 0.2502 Pa
0.0000 0.0000 0.7498 Pa
0.5000 0.5000 0.0000 Ge
0.5000 0.5000 0.5000 Rh
```

Results
DOS at the Fermi energy = 1.405 states/eV/atom
formation energy from the elements = -522 meV/atom
total energy = -33.050 eV/cell
polymorph energy (0 for the lowest one) = 82.3 meV/atom

=====

[3]
Crystalline PaGeRh2 at its relaxed geometry, computed with PBE.

POSCAR file:
```
PaGeRh2
1.0
4.2315 0.0000 0.0000
0.0000 4.2315 0.0000
0.0000 0.0000 3.9710
Pa Ge Rh
1 1 2
direct
0.0000 0.0000 0.0000 Pa
0.5000 0.5000 0.0000 Ge
0.0000 0.5000 0.5000 Rh
0.5000 0.0000 0.5000 Rh
```

Results
DOS at the Fermi energy = 0.999 states/eV/atom
formation energy from the elements = -582 meV/atom
total energy = -31.143 eV/cell
polymorph energy (0 for the lowest one) = 203.1 meV/atom